1.
The following is a PBE-GGA calculation of an optimized crystal structure of Pm12GaNi6, from the Alexandria database.

a = 12.9134 Å, b = 12.9134 Å, c = 11.1994 Å
α = 90.00°, β = 90.00°, γ = 120.00°
Space group R-3 (No. 148, hexagonal axes)
One atom of each set of equivalent atoms:
Pm (0.0215, 0.8166, 0.3837) [18 per cell]
Pm (0.0222, 0.8108, 0.8820) [18 per cell]
Ga (0.0000, 0.0000, 0.0000) [3 per cell]
Ni (0.0316, 0.7793, 0.6412) [18 per cell]

- size of the total moment (μB per cell) = 0.0
- ΔE_f (eV per atom) = -0.108
- offset from the most stable computed form (meV per atom) = 173
- density (g/cm3) = 6.66



2.
The following is a PBE-GGA calculation of an optimized crystal structure of Sc2BiSe, from the Alexandria database.

a = 4.0256 Å, b = 4.0256 Å, c = 20.3032 Å
α = 90.00°, β = 90.00°, γ = 120.00°
Space group R-3m (No. 166, hexagonal axes)
One atom of each set of equivalent atoms:
Sc (0.0000, 0.0000, 0.2407) [6 per cell]
Bi (0.0000, 0.0000, 0.0000) [3 per cell]
Se (0.0000, 0.0000, 0.5000) [3 per cell]

- size of the total moment (μB per cell) = 0.0
- raw formation energy (eV/atom) = -1.107
- offset from the most stable computed form (meV per atom) = 0
- density (g/cm3) = 6.61



3.
The following is a PBE-GGA calculation of an optimized crystal structure of LaSbTe2Ir, from the Alexandria database.

a = 6.0185 Å, b = 6.0185 Å, c = 6.1864 Å
α = 90.00°, β = 90.00°, γ = 90.00°
Space group P4/mmm (No. 123)
One atom of each set of equivalent atoms:
La (0.0000, 0.0000, 0.0000) [1 per cell]
Sb (0.0000, 0.0000, 0.5000) [1 per cell]
Te (0.0000, 0.5000, 0.0000) [2 per cell]
Ir (0.5000, 0.5000, 0.5000) [1 per cell]

- size of the total moment (μB per cell) = 2.5
- raw formation energy (eV/atom) = 1.231
- offset from the most stable computed form (meV per atom) = 1535
- density (g/cm3) = 5.25



4.
The following is a PBE-GGA calculation of an optimized crystal structure of TiSF, from the Alexandria database.

a = 5.1330 Å, b = 4.1409 Å, c = 5.5661 Å
α = 90.00°, β = 90.90°, γ = 90.00°
Space group P2_1/m (No. 11)
One atom of each set of equivalent atoms:
Ti (0.2006, 0.2500, 0.1070) [2 per cell]
S (0.2663, 0.7500, 0.9105) [2 per cell]
F (0.2341, 0.2500, 0.4273) [2 per cell]

- size of the total moment (μB per cell) = 0.0
- raw formation energy (eV/atom) = -2.061
- density (g/cm3) = 2.78



5.
The following is a PBE-GGA calculation of an optimized crystal structure of Nd2DyHo6Sc3, from the Alexandria database.

a = 6.0630 Å, b = 10.4990 Å, c = 11.4977 Å
α = 90.00°, β = 100.12°, γ = 90.00°
Space group C2/m (No. 12)
One atom of each set of equivalent atoms:
Nd (0.0000, 0.1668, 0.0000) [4 per cell]
Dy (0.0000, 0.5000, 0.0000) [2 per cell]
Ho (0.2464, 0.1664, 0.7386) [8 per cell]
Ho (0.2456, 0.5000, 0.7386) [4 per cell]
Sc (0.0000, 0.0000, 0.5000) [2 per cell]
Sc (0.0000, 0.3336, 0.5000) [4 per cell]

- size of the total moment (μB per cell) = 0.0
- ΔE_f (eV per atom) = 0.046
- density (g/cm3) = 7.26



6.
The following is a PBE-GGA calculation of an optimized crystal structure of Nd3LuN, from the Alexandria database.

a = 5.1269 Å, b = 5.1269 Å, c = 5.1269 Å
α = 90.00°, β = 90.00°, γ = 90.00°
Space group Pm-3m (No. 221)
One atom of each set of equivalent atoms:
Nd (0.0000, 0.0000, 0.5000) [3 per cell]
Lu (0.5000, 0.5000, 0.5000) [1 per cell]
N (0.0000, 0.0000, 0.0000) [1 per cell]

- size of the total moment (μB per cell) = 0.0
- raw formation energy (eV/atom) = -0.464
- density (g/cm3) = 7.66